DFT (GGA-PBE) results for an optimized crystal structure of PAuO2.

abc: 2.9285 2.9285 30.0456
angles: 90.00 90.00 120.00
Closest atoms and distances in Å follow each position.
Space group R-3m (No. 166, hexagonal axes)
Unique sites:
P  0.0000  0.0000  0.0000  2 O 1.47
Au  0.0000  0.0000  0.5000  6 Au 2.93
O  0.0000  0.0000  0.0491  1 P 1.47

Computed properties:
The calculation puts the raw formation energy at -0.36 eV per atom.

---

DFT (GGA-PBE) results for an optimized crystal structure of GaTe2Pd.

abc: 4.0205 4.0205 21.1310
angles: 90.00 90.00 120.00
Closest atoms and distances in Å follow each position.
Space group R3m (No. 160, hexagonal axes)
Unique sites:
Ga  0.0000  0.0000  0.0000  6 Te 3.01-3.14
Te  0.0000  0.0000  0.2430  3 Pd 2.80, 3 Ga 3.01
Te  0.0000  0.0000  0.4331  3 Pd 2.74
Pd  0.0000  0.0000  0.8353  6 Te 2.74-2.80

Computed properties:
The calculation puts the raw formation energy at -0.20 eV per atom.

---

DFT (GGA-PBE) results for an optimized crystal structure of KNiMo2.

abc: 2.6523 3.7066 8.4923
angles: 90.00 90.00 90.00
Closest atoms and distances in Å follow each position.
Space group Pmmm (No. 47)
Unique sites:
K  0.0000  0.0000  0.0000  2 K 2.65
Ni  0.0000  0.0000  0.5000  8 Mo 2.60, 2 Ni 2.65
Mo  0.5000  0.5000  0.3523  3 Mo 2.51-2.65, 4 Ni 2.60

Computed properties:
The formation enthalpy at 0 K is 0.813 eV/atom. Its distance to the lowest polymorph of the same formula is 0.585 eV/f.u.

---

DFT (GGA-PBE) results for an optimized crystal structure of Sr2TcNi.

abc: 8.2460 8.2460 6.0868
angles: 90.00 90.00 90.00
Closest atoms and distances in Å follow each position.
Space group I-42d (No. 122)
Unique sites:
Sr  0.2111  0.2500  0.1250  2 Ni 2.80, 2 Sr 3.11
Tc  0.0000  0.0000  0.5000  2 Ni 3.04, 4 Sr 3.24
Ni  0.0000  0.0000  0.0000  4 Sr 2.80, 2 Tc 3.04

Computed properties:
The formation enthalpy at 0 K is 0.979 eV/atom. Its distance to the lowest polymorph of the same formula is 2.450 eV/f.u.

---

DFT (GGA-PBE) results for an optimized crystal structure of SrLiNiSn2.

abc: 4.5737 4.5737 11.0171
angles: 90.00 90.00 90.00
Closest atoms and distances in Å follow each position.
Space group I-4m2 (No. 119)
Unique sites:
Sr  0.0000  0.0000  0.0000  8 Sn 3.56, 4 Li 3.58, 4 Ni 3.58
Li  0.0000  0.5000  0.7500  4 Sn 2.62
Ni  0.0000  0.5000  0.2500  4 Sn 2.62
Sn  0.0000  0.0000  0.3656  2 Li 2.62, 2 Ni 2.62

Computed properties:
The formation enthalpy at 0 K is -0.403 eV/atom. Its distance to the lowest polymorph of the same formula is 0.000 eV/f.u.

---

DFT (GGA-PBE) results for an optimized crystal structure of Zn4CdAg.

abc: 7.3208 7.3208 7.3208
angles: 90.00 90.00 90.00
Closest atoms and distances in Å follow each position.
Space group F-43m (No. 216)
Unique sites:
Zn  0.1247  0.1247  0.1247  6 Zn 2.58-2.59
Cd  0.0000  0.0000  0.5000  12 Zn 3.04, 4 Ag 3.17
Ag  0.2500  0.2500  0.7500  12 Zn 3.03, 4 Cd 3.17

Computed properties:
The formation enthalpy at 0 K is 0.002 eV/atom.

---

N(E_F) per entry: 0.53; 0.57; 0.89; 1.13; 0.51; 0.11 states/eV per atom